# TbEr2Cd

Crystalline TbEr2Cd at its relaxed geometry (PBE, Alexandria via LeMat-Bulk).

Results
The density of states at the Fermi level comes out at 1.487 states/eV/atom. Its space group is R3m (160). The value obtained for the calculated formation energy is -0.3 eV per formula unit. The final energy comes out at -3.73 eV per atom.

Unit cell a=3.580 b=3.580 c=10.833 alpha=80.49 beta=80.49 gamma=60.00
Element x y z (fractional)
1 Cd 0.667 0.667 0.000
2 Er 0.078 0.078 0.767
3 Er 0.256 0.256 0.232
4 Tb 0.500 0.500 0.500